[1]
# LiCa2Pm, relaxed, DFT PBE
# Density: 2.80 g/cm³
# Uncorrected energy: -2.583 eV/atom
# Magnetic moment: 0.0 μB per formula unit
# Energy above the most stable polymorph in this dataset: 0 meV/atom
data_LiCa2Pm
_space_group_name_H-M_alt 'P 4/m m m'
_space_group_IT_number 123
_space_group_name_Hall '-P 4 2'
_cell_length_a 4.068
_cell_length_b 4.068
_cell_length_c 8.314
_cell_angle_alpha 90.00
_cell_angle_beta 90.00
_cell_angle_gamma 90.00
loop_
_atom_site_label
_atom_site_fract_x
_atom_site_fract_y
_atom_site_fract_z
Li1 0.000 0.000 0.000
Ca1 0.500 0.500 0.229
Pm1 0.000 0.000 0.500

=====

[2]
# Rb2ZnC, relaxed, DFT PBE
# Density: 2.74 g/cm³
# Uncorrected energy: -2.470 eV/atom
# Magnetic moment: 0.0 μB per formula unit
# Energy above the most stable polymorph in this dataset: 0 meV/atom
data_Rb2ZnC
_space_group_name_H-M_alt 'I -4 2 d'
_space_group_IT_number 122
_space_group_name_Hall 'I -4 2bw'
_cell_length_a 12.634
_cell_length_b 12.634
_cell_length_c 3.776
_cell_angle_alpha 90.00
_cell_angle_beta 90.00
_cell_angle_gamma 90.00
loop_
_atom_site_label
_atom_site_fract_x
_atom_site_fract_y
_atom_site_fract_z
Rb1 0.036 0.250 0.125
Zn1 0.000 0.000 0.500
C1 0.000 0.000 0.000

=====

[3]
# LiDyGaAg, relaxed, DFT PBE
# Density: 7.66 g/cm³
# Uncorrected energy: -3.453 eV/atom
# Magnetic moment: 0.0 μB per formula unit
data_LiDyGaAg
_space_group_name_H-M_alt 'F -4 3 m'
_space_group_IT_number 216
_space_group_name_Hall 'F -4 2 3'
_cell_length_a 6.702
_cell_length_b 6.702
_cell_length_c 6.702
_cell_angle_alpha 90.00
_cell_angle_beta 90.00
_cell_angle_gamma 90.00
loop_
_atom_site_label
_atom_site_fract_x
_atom_site_fract_y
_atom_site_fract_z
Li1 0.000 0.000 0.000
Dy1 0.250 0.250 0.250
Ga1 0.000 0.000 0.500
Ag1 0.250 0.250 0.750

=====

[4]
# MoP, relaxed, DFT PBE
# Density: 7.37 g/cm³
# Uncorrected energy: -8.584 eV/atom
# Magnetic moment: 0.0 μB per formula unit
data_MoP
_space_group_name_H-M_alt 'P 21 3'
_space_group_IT_number 198
_space_group_name_Hall 'P 2ac 2ab 3'
_cell_length_a 4.853
_cell_length_b 4.853
_cell_length_c 4.853
_cell_angle_alpha 90.00
_cell_angle_beta 90.00
_cell_angle_gamma 90.00
loop_
_atom_site_label
_atom_site_fract_x
_atom_site_fract_y
_atom_site_fract_z
Mo1 0.127 0.373 0.627
P1 0.086 0.914 0.414

=====

[5]
# V2SnI, relaxed, DFT PBE
# Density: 7.79 g/cm³
# Uncorrected energy: -5.342 eV/atom
# Magnetic moment: 1.5 μB per formula unit
# Formation energy from raw total energies: 0.606 eV per atom
# Energy above the most stable polymorph in this dataset: 0 meV/atom
data_V2SnI
_space_group_name_H-M_alt 'F m -3 m'
_space_group_IT_number 225
_space_group_name_Hall '-F 4 2 3'
_cell_length_a 6.667
_cell_length_b 6.667
_cell_length_c 6.667
_cell_angle_alpha 90.00
_cell_angle_beta 90.00
_cell_angle_gamma 90.00
loop_
_atom_site_label
_atom_site_fract_x
_atom_site_fract_y
_atom_site_fract_z
V1 0.250 0.250 0.250
Sn1 0.000 0.000 0.000
I1 0.000 0.000 0.500

=====

[6]
# SmGdZnAu, relaxed, DFT PBE
# Density: 9.79 g/cm³
# Uncorrected energy: -6.401 eV/atom
# Magnetic moment: 7.2 μB per formula unit
data_SmGdZnAu
_space_group_name_H-M_alt 'F -4 3 m'
_space_group_IT_number 216
_space_group_name_Hall 'F -4 2 3'
_cell_length_a 7.286
_cell_length_b 7.286
_cell_length_c 7.286
_cell_angle_alpha 90.00
_cell_angle_beta 90.00
_cell_angle_gamma 90.00
loop_
_atom_site_label
_atom_site_fract_x
_atom_site_fract_y
_atom_site_fract_z
Sm1 0.000 0.000 0.000
Gd1 0.000 0.000 0.500
Zn1 0.250 0.250 0.250
Au1 0.250 0.250 0.750

=====

[7]
# Pu3MgAl8, relaxed, DFT PBE
# Density: 6.89 g/cm³
# Uncorrected energy: -6.460 eV/atom
# Magnetic moment: 5.4 μB per formula unit
data_Pu3MgAl8
_space_group_name_H-M_alt 'R 3 m'
_space_group_IT_number 160
_space_group_name_Hall 'R 3 -2"'
_cell_length_a 5.5039
_cell_length_b 5.5039
_cell_length_c 26.7851
_cell_angle_alpha 90.00
_cell_angle_beta 90.00
_cell_angle_gamma 120.00
loop_
_atom_site_label
_atom_site_fract_x
_atom_site_fract_y
_atom_site_fract_z
Pu1 0.0000 0.0000 0.0000
Pu2 0.0000 0.0000 0.1258
Pu3 0.0000 0.0000 0.6269
Mg1 0.0000 0.0000 0.5008
Al1 0.0000 0.0000 0.3136
Al2 0.0000 0.0000 0.8129
Al3 0.1672 0.3344 0.8970
Al4 0.1674 0.3348 0.3972

=====

[8]
# Nd2AlCu12Ni3, relaxed, DFT PBE
# Density: 8.03 g/cm³
# Uncorrected energy: -4.404 eV/atom
# Magnetic moment: 0.0 μB per formula unit
data_Nd2AlCu12Ni3
_space_group_name_H-M_alt 'R -3 m'
_space_group_IT_number 166
_space_group_name_Hall '-R 3 2"'
_cell_length_a 8.4969
_cell_length_b 8.4969
_cell_length_c 12.4461
_cell_angle_alpha 90.00
_cell_angle_beta 90.00
_cell_angle_gamma 120.00
loop_
_atom_site_label
_atom_site_fract_x
_atom_site_fract_y
_atom_site_fract_z
Nd1 0.0000 0.0000 0.2452
Al1 0.0000 0.0000 0.5000
Cu1 0.0196 0.5098 0.2088
Cu2 0.0545 0.5272 0.6016
Ni1 0.0000 0.5000 0.0000

=====

[9]
# Tb7Tl4N, relaxed, DFT PBE
# Density: 9.04 g/cm³
# Uncorrected energy: -4.478 eV/atom
# Magnetic moment: 0.0 μB per formula unit
# Formation energy from raw total energies: -0.294 eV per atom
data_Tb7Tl4N
_space_group_name_H-M_alt 'C 1 2/m 1'
_space_group_IT_number 12
_space_group_name_Hall '-C 2y'
_cell_length_a 17.015
_cell_length_b 4.879
_cell_length_c 11.176
_cell_angle_alpha 90.00
_cell_angle_beta 129.64
_cell_angle_gamma 90.00
loop_
_atom_site_label
_atom_site_fract_x
_atom_site_fract_y
_atom_site_fract_z
Tb1 0.000 0.000 0.000
Tb2 0.050 0.500 0.238
Tb3 0.122 0.000 0.541
Tb4 0.221 0.500 0.851
Tl1 0.087 0.000 0.795
Tl2 0.226 0.000 0.376
N1 0.000 0.500 0.000

=====

[10]
# ZnAsPS2, relaxed, DFT PBE
# Density: 3.65 g/cm³
# Uncorrected energy: -3.165 eV/atom
# Magnetic moment: 0.5 μB per formula unit
# Formation energy from raw total energies: 0.752 eV per atom
# Energy above the most stable polymorph in this dataset: 0 meV/atom
data_ZnAsPS2
_space_group_name_H-M_alt 'P 4/m m m'
_space_group_IT_number 123
_space_group_name_Hall '-P 4 2'
_cell_length_a 4.699
_cell_length_b 4.699
_cell_length_c 4.856
_cell_angle_alpha 90.00
_cell_angle_beta 90.00
_cell_angle_gamma 90.00
loop_
_atom_site_label
_atom_site_fract_x
_atom_site_fract_y
_atom_site_fract_z
Zn1 0.000 0.000 0.000
As1 0.500 0.500 0.500
P1 0.500 0.500 0.000
S1 0.000 0.500 0.500

=====

[11]
# Ho4ErTc2, relaxed, DFT PBE
# Density: 9.56 g/cm³
# Uncorrected energy: -6.269 eV/atom
# Magnetic moment: 0.0 μB per formula unit
data_Ho4ErTc2
_space_group_name_H-M_alt 'P 1 21/m 1'
_space_group_IT_number 11
_space_group_name_Hall '-P 2yb'
_cell_length_a 7.793
_cell_length_b 6.260
_cell_length_c 7.844
_cell_angle_alpha 90.00
_cell_angle_beta 111.83
_cell_angle_gamma 90.00
loop_
_atom_site_label
_atom_site_fract_x
_atom_site_fract_y
_atom_site_fract_z
Ho1 0.113 0.250 0.474
Ho2 0.177 0.750 0.252
Ho3 0.261 0.501 0.916
Er1 0.471 0.250 0.342
Tc1 0.078 0.250 0.117
Tc2 0.467 0.250 0.744

=====

[12]
# ErTmScPa, relaxed, DFT PBE
# Density: 9.19 g/cm³
# Uncorrected energy: -5.940 eV/atom
# Magnetic moment: 0.0 μB per formula unit
data_ErTmScPa
_space_group_name_H-M_alt 'F -4 3 m'
_space_group_IT_number 216
_space_group_name_Hall 'F -4 2 3'
_cell_length_a 7.620
_cell_length_b 7.620
_cell_length_c 7.620
_cell_angle_alpha 90.00
_cell_angle_beta 90.00
_cell_angle_gamma 90.00
loop_
_atom_site_label
_atom_site_fract_x
_atom_site_fract_y
_atom_site_fract_z
Er1 0.000 0.000 0.000
Tm1 0.250 0.250 0.250
Sc1 0.000 0.000 0.500
Pa1 0.250 0.250 0.750

=====

[13]
# TeP3, relaxed, DFT PBE
# Density: 3.69 g/cm³
# Uncorrected energy: -4.508 eV/atom
# Magnetic moment: 0.0 μB per formula unit
# Formation energy from raw total energies: 0.335 eV per atom
# Energy above the most stable polymorph in this dataset: 136 meV/atom
data_TeP3
_space_group_name_H-M_alt 'C 1 m 1'
_space_group_IT_number 8
_space_group_name_Hall 'C -2y'
_cell_length_a 10.254
_cell_length_b 3.951
_cell_length_c 5.043
_cell_angle_alpha 90.00
_cell_angle_beta 103.76
_cell_angle_gamma 90.00
loop_
_atom_site_label
_atom_site_fract_x
_atom_site_fract_y
_atom_site_fract_z
Te1 0.000 0.000 0.000
P1 0.059 0.500 0.333
P2 0.295 0.500 0.259
P3 0.367 0.000 0.492

=====

[14]
# Na2Pb2O3, relaxed, DFT PBE
# Density: 6.31 g/cm³
# Uncorrected energy: -4.787 eV/atom
# Magnetic moment: 0.0 μB per formula unit
# Formation energy from raw total energies: -1.225 eV per atom
# Energy above the most stable polymorph in this dataset: 0 meV/atom
data_Na2Pb2O3
_space_group_name_H-M_alt 'P -1'
_space_group_IT_number 2
_space_group_name_Hall '-P 1'
_cell_length_a 3.385
_cell_length_b 5.961
_cell_length_c 6.995
_cell_angle_alpha 98.13
_cell_angle_beta 90.30
_cell_angle_gamma 106.43
loop_
_atom_site_label
_atom_site_fract_x
_atom_site_fract_y
_atom_site_fract_z
Na1 0.135 0.271 0.394
Pb1 0.380 0.767 0.203
O1 0.233 0.462 0.718
O2 0.500 0.000 0.500

=====

[15]
# CsNdBr4, relaxed, DFT PBE
# Density: 3.98 g/cm³
# Uncorrected energy: -3.880 eV/atom
# Magnetic moment: 0.0 μB per formula unit
# Formation energy from raw total energies: -1.828 eV per atom
# Energy above the most stable polymorph in this dataset: 2 meV/atom
data_CsNdBr4
_space_group_name_H-M_alt 'C 1 2/c 1'
_space_group_IT_number 15
_space_group_name_Hall '-C 2yc'
_cell_length_a 10.379
_cell_length_b 15.047
_cell_length_c 7.364
_cell_angle_alpha 90.00
_cell_angle_beta 119.89
_cell_angle_gamma 90.00
loop_
_atom_site_label
_atom_site_fract_x
_atom_site_fract_y
_atom_site_fract_z
Cs1 0.000 0.139 0.250
Nd1 0.000 0.498 0.750
Br1 0.098 0.349 0.566
Br2 0.246 0.060 0.819

=====

[16]
# Rb2LuI4, relaxed, DFT PBE
# Density: 4.33 g/cm³
# Uncorrected energy: -3.023 eV/atom
# Magnetic moment: 0.5 μB per formula unit
# Formation energy from raw total energies: -1.215 eV per atom
data_Rb2LuI4
_space_group_name_H-M_alt 'I 4/m m m'
_space_group_IT_number 139
_space_group_name_Hall '-I 4 2'
_cell_length_a 5.940
_cell_length_b 5.940
_cell_length_c 18.570
_cell_angle_alpha 90.00
_cell_angle_beta 90.00
_cell_angle_gamma 90.00
loop_
_atom_site_label
_atom_site_fract_x
_atom_site_fract_y
_atom_site_fract_z
Rb1 0.000 0.000 0.138
Lu1 0.000 0.000 0.500
I1 0.000 0.000 0.336
I2 0.000 0.500 0.000

=====

[17]
# Ho2NiRu, relaxed, DFT PBE
# Density: 9.86 g/cm³
# Uncorrected energy: -6.126 eV/atom
# Magnetic moment: 0.0 μB per formula unit
data_Ho2NiRu
_space_group_name_H-M_alt 'R -3 m'
_space_group_IT_number 166
_space_group_name_Hall '-R 3 2"'
_cell_length_a 3.5121
_cell_length_b 3.5121
_cell_length_c 23.1485
_cell_angle_alpha 90.00
_cell_angle_beta 90.00
_cell_angle_gamma 120.00
loop_
_atom_site_label
_atom_site_fract_x
_atom_site_fract_y
_atom_site_fract_z
Ho1 0.0000 0.0000 0.2483
Ni1 0.0000 0.0000 0.5000
Ru1 0.0000 0.0000 0.0000

=====

[18]
# YGaP3, relaxed, DFT PBE
# Density: 2.83 g/cm³
# Uncorrected energy: -4.553 eV/atom
# Magnetic moment: 0.0 μB per formula unit
# Energy above the most stable polymorph in this dataset: 454 meV/atom
data_YGaP3
_space_group_name_H-M_alt 'P m -3 m'
_space_group_IT_number 221
_space_group_name_Hall '-P 4 2 3'
_cell_length_a 5.284
_cell_length_b 5.284
_cell_length_c 5.284
_cell_angle_alpha 90.00
_cell_angle_beta 90.00
_cell_angle_gamma 90.00
loop_
_atom_site_label
_atom_site_fract_x
_atom_site_fract_y
_atom_site_fract_z
Y1 0.000 0.000 0.000
Ga1 0.500 0.500 0.500
P1 0.000 0.000 0.500

=====

[19]
# LaGdBeZn, relaxed, DFT PBE
# Density: 6.52 g/cm³
# Uncorrected energy: -6.053 eV/atom
# Magnetic moment: 7.8 μB per formula unit
data_LaGdBeZn
_space_group_name_H-M_alt 'F -4 3 m'
_space_group_IT_number 216
_space_group_name_Hall 'F -4 2 3'
_cell_length_a 7.229
_cell_length_b 7.229
_cell_length_c 7.229
_cell_angle_alpha 90.00
_cell_angle_beta 90.00
_cell_angle_gamma 90.00
loop_
_atom_site_label
_atom_site_fract_x
_atom_site_fract_y
_atom_site_fract_z
La1 0.000 0.000 0.000
Gd1 0.000 0.000 0.500
Be1 0.250 0.250 0.250
Zn1 0.250 0.250 0.750

=====

[20]
# K4NdNp3O12, relaxed, DFT PBE
# Density: 6.12 g/cm³
# Uncorrected energy: -8.080 eV/atom
# Magnetic moment: 4.0 μB per formula unit
# Formation energy from raw total energies: -2.706 eV per atom
data_K4NdNp3O12
_space_group_name_H-M_alt 'I m -3 m'
_space_group_IT_number 229
_space_group_name_Hall '-I 4 2 3'
_cell_length_a 8.677
_cell_length_b 8.677
_cell_length_c 8.677
_cell_angle_alpha 90.00
_cell_angle_beta 90.00
_cell_angle_gamma 90.00
loop_
_atom_site_label
_atom_site_fract_x
_atom_site_fract_y
_atom_site_fract_z
K1 0.250 0.250 0.250
Nd1 0.000 0.000 0.000
Np1 0.000 0.000 0.500
O1 0.000 0.000 0.270
O2 0.000 0.250 0.500